Be3RuI: relaxed, PBE-GGA.

```
Be3RuI
1.0
4.5237 0.0000 0.0000
0.0000 4.5237 0.0000
0.0000 0.0000 4.5237
I Ru Be
1 1 3
direct
0.0000 0.0000 0.0000
0.5000 0.5000 0.5000
0.0000 0.5000 0.0000
0.0000 0.0000 0.5000
0.5000 0.0000 0.0000
```

ΔE_f (raw) in kJ/mol of formula units: 1028
Energy above the most stable polymorph in this dataset in meV/atom: 1284
V in Å³/cell: 93